Material: TlSb
Method: DFT, PBE
State: optimized geometry

a b c (Å): 6.2704 6.2704 6.2704
angles (deg): 90.00 90.00 90.00
Closest atoms and distances in Å follow each position.
Space group Fm-3m (No. 225)
Symmetry-distinct sites (fractional):
1 Tl 0.0000 0.0000 0.0000 [4 per cell]  6 Sb 3.14
2 Sb 0.0000 0.0000 0.5000 [4 per cell]  6 Tl 3.14

Values from the calculation:
V in A^3/atom: 30.817
D(E_F) in states/eV/cell: 4.661
Energy in eV per atom: -3.06
Raw formation energy in meV/atom: 182
Crystal system: cubic